[1]
K2Cd2Au3, optimized geometry, DFT PBE; energy relative to the elements = -0.254 eV per atom; calculated volume = 186.52 Å³/cell; Fermi-level density of states = 0.284 states/eV/atom
1.0
4.8452 0.0000 0.0000
-2.4226 6.1509 -0.6927
0.0000 -4.0129 6.7105
K Cd Au
2 2 3
Direct
0.8294 0.6589 0.2154
0.1706 0.3411 0.7846
0.8632 0.7265 0.7262
0.1368 0.2735 0.2738
0.5000 0.0000 0.0000
0.5700 0.1401 0.4120
0.4300 0.8599 0.5880

***

[2]
K5CdAu6, optimized geometry, DFT PBE; energy relative to the elements = -0.244 eV per atom; calculated volume = 386.95 Å³/cell; Fermi-level density of states = 0.239 states/eV/atom
1.0
8.3018 0.2139 1.5388
2.3962 5.2009 3.2562
0.0291 -1.1345 8.4539
K Au Cd
5 6 1
Direct
0.5000 0.1976 0.6049
0.0000 0.6444 0.7112
0.0000 0.3556 0.2888
0.5000 0.5000 0.0000
0.5000 0.8024 0.3951
0.6812 0.9503 0.0000
0.8059 0.9923 0.3078
0.1941 0.6998 0.3078
0.1941 0.0077 0.6922
0.8059 0.3002 0.6922
0.3188 0.0497 0.0000
0.0000 0.0000 0.0000

***

[3]
KCdAu2, optimized geometry, DFT PBE; energy relative to the elements = -0.007 eV per atom; calculated volume = 94.27 Å³/cell; Fermi-level density of states = 0.330 states/eV/atom
1.0
5.1086 0.0000 0.0000
2.5543 4.4241 0.0000
2.5543 1.4747 4.1711
Au Cd K
2 1 1
Direct
0.0000 0.0000 0.0000
0.2500 0.2500 0.2500
0.5000 0.5000 0.5000
0.7500 0.7500 0.7500

***

[4]
KCdAu2, optimized geometry, DFT PBE; energy relative to the elements = -0.118 eV per atom; calculated volume = 103.75 Å³/cell; Fermi-level density of states = 0.193 states/eV/atom
1.0
4.6705 0.0000 0.0000
0.0000 3.2997 0.0973
0.0000 1.3733 6.7729
Au Cd K
2 1 1
Direct
0.0000 0.1695 0.0299
0.5000 0.0437 0.2999
0.0000 0.5013 0.3843
0.5000 0.7855 0.7858

***

Q: Which of these has the lowest energy relative to the elements?
A: K2Cd2Au3